The following is a DFT calculation (PBE with a Hubbard U) of crystalline CoMoRuF2 at its relaxed geometry.

abc: 3.8174 3.8174 6.7034
angles: 90.00 90.00 90.00
Positions (direct):
1 Co 0.0000 0.0000 0.0000
2 Mo 0.0000 0.0000 0.5000
3 Ru 0.5000 0.5000 0.5000
4 F 0.0000 0.5000 0.0000
5 F 0.5000 0.0000 0.0000

Computed properties:
E_tot	-5.056	eV/atom
SG	P4/mmm, No. 123